Compound: AcZrFe2O6
Source: Alexandria
Functional: PBE with a Hubbard U
Structure: optimized geometry

Unit cell a=5.4493 b=5.4681 c=5.7784 alpha=90.88 beta=117.26 gamma=119.79
Element x y z (fractional)
Ac 0.0000 0.0000 0.0000
Zr 0.9436 0.4713 0.4188
Fe 0.5175 0.2569 0.7803
Fe 0.5484 0.7748 0.3240
O 0.0160 0.1449 0.5598
O 0.0622 0.4697 0.1080
O 0.4137 0.8779 0.5705
O 0.5117 0.0442 0.1117
O 0.6364 0.5860 0.1024
O 0.6853 0.5455 0.5644

For the density of states at the Fermi level, the calculation gives 0.00 states/eV per cell. The total DFT energy (no corrections) comes out at -7.664 eV per atom. Its space-group type is No. 1. Its crystal system is triclinic.